Computed, not measured: La2Tm2Tl3 after structural relaxation at the PBE level of DFT.

Unit cell a=8.4506 b=8.4506 c=8.4506 alpha=143.05 beta=141.80 gamma=54.20
With the nearest neighbours (Å) after each atom.
Positions (direct):
La 0.1260 0.1260 0.0000  6 Tl 3.25-3.35
La 0.8740 0.8740 0.0000  6 Tl 3.25-3.35
Tm 0.3819 0.3819 0.0000  6 Tl 3.21-3.39, 1 Tm 3.55
Tm 0.6181 0.6181 0.0000  6 Tl 3.21-3.39, 1 Tm 3.55
Tl 0.2487 0.7487 0.5000  4 La 3.25-3.35, 4 Tm 3.34-3.39
Tl 0.5000 0.0000 0.5000  4 Tm 3.21, 4 La 3.35
Tl 0.7513 0.2513 0.5000  4 La 3.25-3.35, 4 Tm 3.34-3.39

Computed properties:
* E above lowest polymorph: 10.2 meV/atom
* calculated formation energy: -0.228 eV/atom
* DOS at the Fermi energy: 6.3 states/eV/cell
* total moment: 0.00 μB per formula unit